Na2YAgI6 after structural relaxation, computed with PBE.

Summary:
- DFT total energy: -3.22 eV/atom
- Size of the total moment: 0.000 μB/atom
- N(E_F): 0.00 states/eV per cell
- Space group: No. 1
- Formation energy without anion corrections: -1.099 eV per atom

Cell and atoms, written as POSCAR:
```
Na2YAgI6
1.0
7.9190 0.0032 -0.0011
3.9618 6.8578 0.0027
3.9649 2.2889 7.5253
I Na Ag Y
6 2 1 1
direct
0.5882 0.2480 0.2148 I
0.9487 0.5883 0.2144 I
0.1198 0.4193 0.7354 I
0.4187 0.7262 0.7352 I
0.7263 0.1201 0.7353 I
0.2485 0.9484 0.2144 I
0.0085 0.0083 0.9751 Na
0.5268 0.5261 0.4202 Na
0.7453 0.7463 0.7627 Ag
0.3308 0.3307 0.0077 Y
```